Entry 1:
CoRh2Au | PBE-GGA | relaxed

It has space group Pmmm (No. 47), with a = 2.7791 Å, b = 4.6158 Å, c = 4.6211 Å, α = 90.00°, β = 90.00° and γ = 90.00°. The asymmetric unit holds Co at (0.0000, 0.0000, 0.0000), Rh at (0.0000, 0.5000, 0.5000), Rh at (0.5000, 0.0000, 0.5000) and Au at (0.5000, 0.5000, 0.0000).

Its crystal system is orthorhombic. As for the formation energy: 0.306 eV/atom. For the energy above the most stable polymorph in this dataset, the calculation gives 182.6 meV/atom. For the total magnetization, the calculation gives 3.2 μB per formula unit. The value obtained for the total energy is -5.965 eV/atom.

Entry 2:
CoRh3Au | PBE-GGA | relaxed

It has space group Pm-3m (No. 221), with a = 4.4480 Å, b = 4.4480 Å, c = 4.4480 Å, α = 90.00°, β = 90.00° and γ = 90.00°. The asymmetric unit holds Co at (0.0000, 0.0000, 0.0000), Rh at (0.0000, 0.0000, 0.5000) and Au at (0.5000, 0.5000, 0.5000).

Its crystal system is cubic. As for the formation energy: 0.998 eV/atom. For the energy above the most stable polymorph in this dataset, the calculation gives 0.0 meV/atom. For the total magnetization, the calculation gives 3.7 μB per formula unit. The value obtained for the total energy is -5.490 eV/atom.

Entry 3:
CoRh2Au | PBE-GGA | relaxed

It has space group Cmmm (No. 65), with a = 2.7945 Å, b = 4.6415 Å, c = 9.1794 Å, α = 90.00°, β = 90.00° and γ = 90.00°. The asymmetric unit holds Co at (0.0000, 0.0000, 0.0000), Rh at (0.0000, 0.5000, 0.2274) and Au at (0.0000, 0.0000, 0.5000).

Its crystal system is orthorhombic. As for the formation energy: 0.252 eV/atom. For the energy above the most stable polymorph in this dataset, the calculation gives 128.1 meV/atom. For the total magnetization, the calculation gives 3.3 μB per formula unit. The value obtained for the total energy is -6.020 eV/atom.